# 1
! PBE CsPCl2, relaxed; values from VASP
&SYSTEM
  ibrav = 0, nat = 4, ntyp = 3
/
ATOMIC_SPECIES
Cl 35.45 Cl.upf
Cs 132.91 Cs.upf
P 30.97 P.upf
ATOMIC_POSITIONS crystal
Cl 0.7910 0.7910 0.7910
Cl 0.2090 0.2090 0.2090
Cs 0.0000 0.0000 0.0000
P 0.5000 0.5000 0.5000
CELL_PARAMETERS angstrom
2.7564 0.0000 5.9112
-1.3782 2.3871 5.9112
-1.3782 -2.3871 5.9112
! V, Å³/cell: 116.69
! Energy above the most stable polymorph in this dataset, meV/atom: 288
! Size of the total moment, μB per cell: 0.0



# 2
! PBE CsPCl2, relaxed; values from VASP
&SYSTEM
  ibrav = 0, nat = 4, ntyp = 3
/
ATOMIC_SPECIES
Cs 132.91 Cs.upf
Cl 35.45 Cl.upf
P 30.97 P.upf
ATOMIC_POSITIONS crystal
Cs 0.5000 0.5000 0.5000
Cl 0.2500 0.2500 0.2500
P 0.0000 0.0000 0.0000
Cl 0.7500 0.7500 0.7500
CELL_PARAMETERS angstrom
2.2022 -4.7228 -1.9691
-3.1026 -4.6186 -0.2719
-1.6220 -1.9785 -4.9484
! V, Å³/cell: 122.23
! Energy above the most stable polymorph in this dataset, meV/atom: 502
! Size of the total moment, μB per cell: 2.0



# 3
! PBE Cs2PCl4, relaxed; values from VASP
&SYSTEM
  ibrav = 0, nat = 7, ntyp = 3
/
ATOMIC_SPECIES
Cl 35.45 Cl.upf
Cs 132.91 Cs.upf
P 30.97 P.upf
ATOMIC_POSITIONS crystal
Cl 0.0000 0.5000 0.0000
Cl 0.1469 0.1469 0.7063
Cs 0.3610 0.3610 0.2779
Cl 0.5000 0.0000 0.0000
P 0.0000 0.0000 0.0000
Cs 0.6390 0.6390 0.7221
Cl 0.8531 0.8531 0.2937
CELL_PARAMETERS angstrom
-3.8137 -2.3309 -2.8149
-1.3812 -2.8475 4.2292
-7.9752 3.4335 3.0058
! V, Å³/cell: 234.24
! Size of the total moment, μB per cell: 0.1



# 4
! PBE CsPCl2, relaxed; values from VASP
&SYSTEM
  ibrav = 0, nat = 8, ntyp = 3
/
ATOMIC_SPECIES
Cl 35.45 Cl.upf
Cs 132.91 Cs.upf
P 30.97 P.upf
ATOMIC_POSITIONS crystal
Cl 0.2735 0.6250 0.2500
Cs 0.0000 0.0000 0.0000
Cl 0.4765 0.1250 0.2500
Cl 0.8750 0.7265 0.7500
P 0.2500 0.7500 0.5000
Cl 0.3750 0.5235 0.7500
P 0.5000 0.5000 0.0000
Cs 0.7500 0.2500 0.5000
CELL_PARAMETERS angstrom
6.1681 0.0000 0.0000
0.0000 6.1681 0.0000
3.0841 3.0841 7.8347
! V, Å³/cell: 298.08
! Energy above the most stable polymorph in this dataset, meV/atom: 158
! Size of the total moment, μB per cell: 0.0



# 5
! PBE Cs2PCl6, relaxed; values from VASP
&SYSTEM
  ibrav = 0, nat = 9, ntyp = 3
/
ATOMIC_SPECIES
Cl 35.45 Cl.upf
Cs 132.91 Cs.upf
P 30.97 P.upf
ATOMIC_POSITIONS crystal
Cl 0.7963 0.1516 0.6981
Cl 0.2037 0.8484 0.3019
Cl 0.7959 0.1519 0.1519
Cl 0.7963 0.6981 0.1516
Cl 0.2037 0.3019 0.8484
Cl 0.2041 0.8481 0.8481
Cs 0.2461 0.3327 0.3327
P 0.0000 0.0000 0.0000
Cs 0.7539 0.6673 0.6673
CELL_PARAMETERS angstrom
6.4502 -0.0155 -0.0090
0.0556 7.2304 0.0039
0.0556 3.6057 6.2672
! V, Å³/cell: 292.20
! Size of the total moment, μB per cell: 0.0



# 6
! PBE Cs2PCl5, relaxed; values from VASP
&SYSTEM
  ibrav = 0, nat = 8, ntyp = 3
/
ATOMIC_SPECIES
Cl 35.45 Cl.upf
P 30.97 P.upf
Cs 132.91 Cs.upf
ATOMIC_POSITIONS crystal
Cl 0.2224 0.2224 0.0047
P 0.9922 0.9921 0.9843
Cl 0.2224 0.7824 0.0047
Cl 0.7824 0.7824 0.0048
Cl 0.7824 0.2224 0.0047
Cl 0.7711 0.7712 0.5423
Cs 0.7521 0.2521 0.5042
Cs 0.2521 0.7521 0.5042
CELL_PARAMETERS angstrom
-2.9955 1.8900 -6.9857
-7.1013 0.6891 3.2314
5.8936 3.2980 2.7560
! V, Å³/cell: 291.19
! Size of the total moment, μB per cell: 0.0



# 7
! PBE CsP2Cl, relaxed; values from VASP
&SYSTEM
  ibrav = 0, nat = 4, ntyp = 3
/
ATOMIC_SPECIES
Cs 132.91 Cs.upf
P 30.97 P.upf
Cl 35.45 Cl.upf
ATOMIC_POSITIONS crystal
Cs 0.5000 0.5000 0.5000
P 0.7500 0.7500 0.7500
P 0.2500 0.2500 0.2500
Cl 0.0000 0.0000 0.0000
CELL_PARAMETERS angstrom
-0.5932 -5.1414 -1.2745
-1.5972 -3.4944 3.6944
-4.8777 -2.1309 -0.2793
! V, Å³/cell: 107.08
! Energy above the most stable polymorph in this dataset, meV/atom: 1252
! Size of the total moment, μB per cell: 0.0



# 8
! PBE CsP2PbCl, relaxed; values from VASP
&SYSTEM
  ibrav = 0, nat = 5, ntyp = 4
/
ATOMIC_SPECIES
P 30.97 P.upf
Cs 132.91 Cs.upf
Pb 207.20 Pb.upf
Cl 35.45 Cl.upf
ATOMIC_POSITIONS crystal
P 0.0000 0.5000 0.0000
Cs 0.0000 0.0000 0.0000
Pb 0.5000 0.5000 0.5000
P 0.5000 0.0000 0.0000
Cl 0.0000 0.0000 0.5000
CELL_PARAMETERS angstrom
-1.0381 -3.6176 3.9905
3.3284 -3.6260 -2.4213
4.6181 2.1408 3.1422
! V, Å³/cell: 179.99
! Energy above the most stable polymorph in this dataset, meV/atom: 969
! Size of the total moment, μB per cell: 1.5



# 9
! PBE Cs2PPbCl6, relaxed; values from VASP
&SYSTEM
  ibrav = 0, nat = 10, ntyp = 4
/
ATOMIC_SPECIES
Pb 207.20 Pb.upf
Cl 35.45 Cl.upf
P 30.97 P.upf
Cs 132.91 Cs.upf
ATOMIC_POSITIONS crystal
Pb 0.0000 0.0000 0.0000
Cl 0.2278 0.2278 0.5443
Cl 0.2729 0.2729 0.0000
P 0.5000 0.5000 0.0000
Cs 0.7500 0.2500 0.5000
Cs 0.2500 0.7500 0.5000
Cl 0.7271 0.2729 0.0000
Cl 0.7271 0.7271 0.0000
Cl 0.7722 0.7722 0.4557
Cl 0.2729 0.7271 0.0000
CELL_PARAMETERS angstrom
-3.9821 5.2335 3.5436
-0.2221 -4.3016 6.1033
3.1357 3.0765 6.8539
! V, Å³/cell: 345.68
! Size of the total moment, μB per cell: 1.0



# 10
! PBE CsP2PbCl, relaxed; values from VASP
&SYSTEM
  ibrav = 0, nat = 5, ntyp = 4
/
ATOMIC_SPECIES
P 30.97 P.upf
Pb 207.20 Pb.upf
Cl 35.45 Cl.upf
Cs 132.91 Cs.upf
ATOMIC_POSITIONS crystal
P 0.0000 0.5000 0.0000
Pb 0.0000 0.0000 0.0000
Cl 0.0000 0.0000 0.5000
P 0.5000 0.0000 0.0000
Cs 0.5000 0.5000 0.5000
CELL_PARAMETERS angstrom
-3.5286 -3.9467 -0.7616
3.1972 -3.3700 2.6511
-2.7703 1.4712 5.2111
! V, Å³/cell: 174.00
! Energy above the most stable polymorph in this dataset, meV/atom: 0
! Size of the total moment, μB per cell: 1.9



# 11
! PBE CsPPdCl2, relaxed; values from VASP
&SYSTEM
  ibrav = 0, nat = 5, ntyp = 4
/
ATOMIC_SPECIES
Cl 35.45 Cl.upf
Cs 132.91 Cs.upf
Pd 106.42 Pd.upf
P 30.97 P.upf
ATOMIC_POSITIONS crystal
Cl 0.5000 0.0000 0.0000
Cs 0.5000 0.5000 0.5000
Cl 0.0000 0.5000 0.0000
Pd 0.0000 0.0000 0.0000
P 0.0000 0.0000 0.5000
CELL_PARAMETERS angstrom
5.5298 0.0000 0.0000
0.0000 5.5298 0.0000
0.0000 0.0000 4.4931
! V, Å³/cell: 137.39
! Size of the total moment, μB per cell: 0.6



# 12
! PBE Cs2PPdCl6, relaxed; values from VASP
&SYSTEM
  ibrav = 0, nat = 10, ntyp = 4
/
ATOMIC_SPECIES
Pd 106.42 Pd.upf
Cs 132.91 Cs.upf
Cl 35.45 Cl.upf
P 30.97 P.upf
ATOMIC_POSITIONS crystal
Pd 0.0000 0.0000 0.0000
Cs 0.2500 0.7500 0.5000
Cl 0.2580 0.7420 0.0000
Cs 0.7500 0.2500 0.5000
Cl 0.2580 0.2580 0.0000
Cl 0.7413 0.7413 0.5174
P 0.5000 0.5000 0.0000
Cl 0.2587 0.2587 0.4826
Cl 0.7420 0.7420 0.0000
Cl 0.7420 0.2580 0.0000
CELL_PARAMETERS angstrom
7.1955 0.0000 0.0000
0.0000 7.1955 0.0000
3.5977 3.5977 5.0854
! V, Å³/cell: 263.30
! Size of the total moment, μB per cell: 0.0



# 13
! PBE Cs2PPtCl, relaxed; values from VASP
&SYSTEM
  ibrav = 0, nat = 5, ntyp = 4
/
ATOMIC_SPECIES
Cl 35.45 Cl.upf
Cs 132.91 Cs.upf
Pt 195.08 Pt.upf
P 30.97 P.upf
ATOMIC_POSITIONS crystal
Cl 0.5000 0.5000 0.5000
Cs 0.5000 0.0000 0.0000
Pt 0.0000 0.0000 0.0000
Cs 0.0000 0.5000 0.0000
P 0.0000 0.0000 0.5000
CELL_PARAMETERS angstrom
-2.0100 -3.7165 5.4052
5.8344 -3.5967 -0.3034
1.9099 2.8716 2.6846
! V, Å³/cell: 205.71
! Size of the total moment, μB per cell: 0.0



# 14
! PBE CsRbPCl2, relaxed; values from VASP
&SYSTEM
  ibrav = 0, nat = 5, ntyp = 4
/
ATOMIC_SPECIES
P 30.97 P.upf
Cl 35.45 Cl.upf
Cs 132.91 Cs.upf
Rb 85.47 Rb.upf
ATOMIC_POSITIONS crystal
P 0.0000 0.0000 0.5000
Cl 0.5000 0.0000 0.0000
Cs 0.0000 0.0000 0.0000
Rb 0.5000 0.5000 0.5000
Cl 0.0000 0.5000 0.0000
CELL_PARAMETERS angstrom
-2.3545 2.5636 5.3837
-5.8055 0.3360 -2.6990
-1.2343 -5.3189 1.9929
! V, Å³/cell: 238.90
! Energy above the most stable polymorph in this dataset, meV/atom: 146
! Size of the total moment, μB per cell: 2.0



# 15
! PBE CsRb2PCl6, relaxed; values from VASP
&SYSTEM
  ibrav = 0, nat = 10, ntyp = 4
/
ATOMIC_SPECIES
Rb 85.47 Rb.upf
Cs 132.91 Cs.upf
P 30.97 P.upf
Cl 35.45 Cl.upf
ATOMIC_POSITIONS crystal
Rb 0.7500 0.2500 0.5000
Cs 0.0000 0.0000 0.0000
P 0.5000 0.5000 0.0000
Cl 0.7146 0.7146 0.0000
Cl 0.2854 0.2854 0.0000
Cl 0.7146 0.7146 0.5709
Cl 0.2854 0.7146 0.0000
Cl 0.2854 0.2854 0.4291
Rb 0.2500 0.7500 0.5000
Cl 0.7146 0.2854 0.0000
CELL_PARAMETERS angstrom
-4.0449 -6.8880 0.4551
6.5025 -3.6248 2.9310
-0.4101 -3.9467 6.9488
! V, Å³/cell: 362.24
! Size of the total moment, μB per cell: 0.0



# 16
! PBE CsRbPCl2, relaxed; values from VASP
&SYSTEM
  ibrav = 0, nat = 5, ntyp = 4
/
ATOMIC_SPECIES
P 30.97 P.upf
Rb 85.47 Rb.upf
Cl 35.45 Cl.upf
Cs 132.91 Cs.upf
ATOMIC_POSITIONS crystal
P 0.0000 0.0000 0.5000
Rb 0.0000 0.0000 0.0000
Cl 0.0000 0.5000 0.0000
Cl 0.5000 0.0000 0.0000
Cs 0.5000 0.5000 0.5000
CELL_PARAMETERS angstrom
-4.6617 -2.9237 3.0197
2.2164 -5.5414 -1.9438
3.5810 -0.3784 5.1619
! V, Å³/cell: 247.96
! Energy above the most stable polymorph in this dataset, meV/atom: 0
! Size of the total moment, μB per cell: 3.1



# 17
! PBE CsRbPCl6, relaxed; values from VASP
&SYSTEM
  ibrav = 0, nat = 9, ntyp = 4
/
ATOMIC_SPECIES
Cl 35.45 Cl.upf
Rb 85.47 Rb.upf
Cs 132.91 Cs.upf
P 30.97 P.upf
ATOMIC_POSITIONS crystal
Cl 0.5794 0.0891 0.3033
Cl 0.3313 0.0910 0.6980
Cl 0.0891 0.5794 0.6967
Rb 0.6662 0.6662 0.5000
Cl 0.3323 0.5773 0.3018
Cl 0.5773 0.3324 0.6982
Cs 0.9999 0.9999 0.0000
Cl 0.0910 0.3313 0.3020
P 0.3334 0.3334 0.5000
CELL_PARAMETERS angstrom
-1.5137 -7.3373 -1.6918
5.6488 -4.6725 -2.2909
1.1792 -1.7386 6.4671
! V, Å³/cell: 346.92
! Size of the total moment, μB per cell: 0.9



# 18
! PBE CsReP2Cl, relaxed; values from VASP
&SYSTEM
  ibrav = 0, nat = 5, ntyp = 4
/
ATOMIC_SPECIES
P 30.97 P.upf
Cs 132.91 Cs.upf
Cl 35.45 Cl.upf
Re 186.21 Re.upf
ATOMIC_POSITIONS crystal
P 0.5000 0.0000 0.0000
Cs 0.0000 0.0000 0.0000
Cl 0.0000 0.0000 0.5000
Re 0.5000 0.5000 0.5000
P 0.0000 0.5000 0.0000
CELL_PARAMETERS angstrom
5.3886 0.0000 0.0000
0.0000 5.3886 0.0000
0.0000 0.0000 5.5764
! V, Å³/cell: 161.92
! Energy above the most stable polymorph in this dataset, meV/atom: 3080
! Size of the total moment, μB per cell: 0.0



# 19
! PBE CsRePCl2, relaxed; values from VASP
&SYSTEM
  ibrav = 0, nat = 5, ntyp = 4
/
ATOMIC_SPECIES
Re 186.21 Re.upf
P 30.97 P.upf
Cl 35.45 Cl.upf
Cs 132.91 Cs.upf
ATOMIC_POSITIONS crystal
Re 0.0000 0.0000 0.0000
P 0.0000 0.0000 0.5000
Cl 0.0000 0.5000 0.0000
Cl 0.5000 0.0000 0.0000
Cs 0.5000 0.5000 0.5000
CELL_PARAMETERS angstrom
5.2994 0.0000 0.0000
0.0000 5.2994 0.0000
0.0000 0.0000 4.5877
! V, Å³/cell: 128.84
! Size of the total moment, μB per cell: 1.9



# 20
! PBE CsReP2Cl, relaxed; values from VASP
&SYSTEM
  ibrav = 0, nat = 5, ntyp = 4
/
ATOMIC_SPECIES
P 30.97 P.upf
Cl 35.45 Cl.upf
Cs 132.91 Cs.upf
Re 186.21 Re.upf
ATOMIC_POSITIONS crystal
P 0.0000 0.5000 0.0000
Cl 0.0000 0.0000 0.5000
P 0.5000 0.0000 0.0000
Cs 0.5000 0.5000 0.5000
Re 0.0000 0.0000 0.0000
CELL_PARAMETERS angstrom
-0.8425 -1.4450 4.3189
-1.0591 -4.2096 -1.6150
5.5034 -1.5922 0.5409
! V, Å³/cell: 123.44
! Energy above the most stable polymorph in this dataset, meV/atom: 0
! Size of the total moment, μB per cell: 0.0



Number 1: raw formation energy -0.371 eV/atom. Number 2: raw formation energy -0.157 eV/atom. Number 3: raw formation energy -1.193 eV/atom. Number 4: raw formation energy -0.500 eV/atom. Number 5: raw formation energy -1.182 eV/atom. Number 6: raw formation energy -1.312 eV/atom. Number 7: raw formation energy 1.019 eV/atom. Number 8: raw formation energy 1.061 eV/atom. Number 9: raw formation energy -1.177 eV/atom. Number 10: raw formation energy 0.092 eV/atom. Number 11: raw formation energy -0.550 eV/atom. Number 12: raw formation energy -1.034 eV/atom. Number 13: raw formation energy -0.877 eV/atom. Number 14: raw formation energy -0.456 eV/atom. Number 15: raw formation energy -1.319 eV/atom. Number 16: raw formation energy -0.602 eV/atom. Number 17: raw formation energy -1.118 eV/atom. Number 18: raw formation energy 2.902 eV/atom. Number 19: raw formation energy -0.337 eV/atom. Number 20: raw formation energy -0.177 eV/atom.